Run w
VASP calculation (PBE) on YAlOF2 after structural relaxation.

Calculated density ... 3.22 g/cm³
M_tot ... 0.000 μB per atom

abc: 4.4562 4.4562 4.4087
angles: 90.00 90.00 90.00
Space group P4/mmm (No. 123)
One atom of each set of equivalent atoms:
Y 0.0000 0.0000 0.0000
Al 0.5000 0.5000 0.5000
O 0.0000 0.0000 0.5000
F 0.0000 0.5000 0.0000

***

Run x
VASP calculation (PBE) on YAlOF2 after structural relaxation.

Calculated density ... 4.21 g/cm³
M_tot ... 0.000 μB per atom

abc: 4.3736 4.3736 3.5052
angles: 90.00 90.00 90.00
Space group P4/mmm (No. 123)
One atom of each set of equivalent atoms:
Y 0.0000 0.0000 0.0000
Al 0.5000 0.5000 0.5000
O 0.5000 0.5000 0.0000
F 0.0000 0.5000 0.5000

***

How far above the most stable structure does each one sit? In meV per atom: run w 0; run x 298.

***

Run w
VASP calculation (PBE) on Al2OsF after structural relaxation.

Calculated density ... 7.77 g/cm³
M_tot ... 0.141 μB per atom

abc: 6.0824 6.0824 6.0824
angles: 90.00 90.00 90.00
Space group Fm-3m (No. 225)
One atom of each set of equivalent atoms:
Al 0.2500 0.2500 0.2500
Os 0.0000 0.0000 0.0000
F 0.0000 0.0000 0.5000

***

Run x
VASP calculation (PBE) on Al2OsF after structural relaxation.

Calculated density ... 6.58 g/cm³
M_tot ... 0.000 μB per atom

abc: 4.8283 4.8283 11.3987
angles: 90.00 90.00 90.00
Space group I-42d (No. 122)
One atom of each set of equivalent atoms:
Al 0.1817 0.2500 0.1250
Os 0.0000 0.0000 0.5000
F 0.0000 0.0000 0.0000

***

How far above the most stable structure does each one sit? In meV per atom: run w 0; run x 31.

***

Run w
VASP calculation (PBE) on Al3OsF after structural relaxation.

Calculated density ... 4.55 g/cm³
M_tot ... 0.000 μB per atom

abc: 4.7300 4.7300 4.7300
angles: 90.00 90.00 90.00
Space group Pm-3m (No. 221)
One atom of each set of equivalent atoms:
Al 0.0000 0.0000 0.5000
Os 0.0000 0.0000 0.0000
F 0.5000 0.5000 0.5000

***

Run x
VASP calculation (PBE) on Al3OsF after structural relaxation.

Calculated density ... 7.08 g/cm³
M_tot ... 0.000 μB per atom

abc: 4.0828 4.0828 4.0828
angles: 90.00 90.00 90.00
Space group Pm-3m (No. 221)
One atom of each set of equivalent atoms:
Al 0.0000 0.0000 0.5000
Os 0.5000 0.5000 0.5000
F 0.0000 0.0000 0.0000

***

How far above the most stable structure does each one sit? In meV per atom: run w 0; run x 131.

***

Run w
VASP calculation (PBE) on AlP3F after structural relaxation.

Calculated density ... 2.85 g/cm³
M_tot ... 0.000 μB per atom

abc: 4.3230 4.3230 4.3230
angles: 90.00 90.00 90.00
Space group Pm-3m (No. 221)
One atom of each set of equivalent atoms:
Al 0.0000 0.0000 0.0000
P 0.0000 0.5000 0.5000
F 0.5000 0.5000 0.5000

***

Run x
VASP calculation (PBE) on AlP3F after structural relaxation.

Calculated density ... 2.41 g/cm³
M_tot ... 0.000 μB per atom

abc: 4.5721 4.5721 4.5721
angles: 90.00 90.00 90.00
Space group Pm-3m (No. 221)
One atom of each set of equivalent atoms:
Al 0.0000 0.0000 0.0000
P 0.0000 0.0000 0.5000
F 0.5000 0.5000 0.5000

***

How far above the most stable structure does each one sit? In meV per atom: run w 98; run x 0.

***

Run w
VASP calculation (PBE) on AlPF2 after structural relaxation.

Calculated density ... 2.94 g/cm³
M_tot ... 0.437 μB per atom

abc: 6.0068 6.0068 6.0068
angles: 90.00 90.00 90.00
Space group Fm-3m (No. 225)
One atom of each set of equivalent atoms:
Al 0.0000 0.0000 0.0000
P 0.0000 0.0000 0.5000
F 0.2500 0.2500 0.2500

***

Run x
VASP calculation (PBE) on AlPF2 after structural relaxation.

Calculated density ... 2.49 g/cm³
M_tot ... 0.000 μB per atom

abc: 8.0045 8.0045 8.0045
angles: 90.00 90.00 90.00
Space group Fd-3m (No. 227, origin choice 2)
One atom of each set of equivalent atoms:
Al 0.1250 0.1250 0.1250
P 0.1250 0.1250 0.6250
F 0.0000 0.0000 0.0000

***

Run y
VASP calculation (PBE) on AlPF2 after structural relaxation.

Calculated density ... 2.25 g/cm³
M_tot ... 0.156 μB per atom

abc: 2.8199 2.8199 30.9144
angles: 90.00 90.00 120.00
Space group R-3m (No. 166, hexagonal axes)
One atom of each set of equivalent atoms:
Al 0.0000 0.0000 0.0000
P 0.0000 0.0000 0.5000
F 0.0000 0.0000 0.3750

***

How far above the most stable structure does each one sit? In meV per atom: run w 991; run x 0; run y 242.

***

Run w
VASP calculation (PBE) on Al3PF after structural relaxation.

Calculated density ... 1.95 g/cm³
M_tot ... 0.000 μB per atom

abc: 4.8130 4.8130 4.8130
angles: 90.00 90.00 90.00
Space group Pm-3m (No. 221)
One atom of each set of equivalent atoms:
Al 0.0000 0.0000 0.5000
P 0.0000 0.0000 0.0000
F 0.5000 0.5000 0.5000

***

Run x
VASP calculation (PBE) on Al3PF after structural relaxation.

Calculated density ... 2.48 g/cm³
M_tot ... 0.000 μB per atom

abc: 4.4438 4.4438 4.4438
angles: 90.00 90.00 90.00
Space group Pm-3m (No. 221)
One atom of each set of equivalent atoms:
Al 0.0000 0.0000 0.5000
P 0.5000 0.5000 0.5000
F 0.0000 0.0000 0.0000

***

How far above the most stable structure does each one sit? In meV per atom: run w 220; run x 0.

***

Run w
VASP calculation (PBE) on AlPbF3 after structural relaxation.

Calculated density ... 6.43 g/cm³
M_tot ... 0.000 μB per atom

abc: 4.2204 4.2204 4.2204
angles: 90.00 90.00 90.00
Space group Pm-3m (No. 221)
One atom of each set of equivalent atoms:
Al 0.0000 0.0000 0.0000
Pb 0.5000 0.5000 0.5000
F 0.0000 0.0000 0.5000

***

Run x
VASP calculation (PBE) on AlPbF3 after structural relaxation.

Calculated density ... 4.32 g/cm³
M_tot ... 0.000 μB per atom

abc: 4.8177 4.8177 4.8177
angles: 90.00 90.00 90.00
Space group Pm-3m (No. 221)
One atom of each set of equivalent atoms:
Al 0.0000 0.0000 0.0000
Pb 0.5000 0.5000 0.5000
F 0.0000 0.5000 0.5000

***

How far above the most stable structure does each one sit? In meV per atom: run w 0; run x 277.

***

Run w
VASP calculation (PBE) on Al2PbF after structural relaxation.

Calculated density ... 6.10 g/cm³
M_tot ... 0.000 μB per atom

abc: 6.7325 6.7325 6.7325
angles: 90.00 90.00 90.00
Space group Fm-3m (No. 225)
One atom of each set of equivalent atoms:
Al 0.2500 0.2500 0.2500
Pb 0.0000 0.0000 0.0000
F 0.0000 0.0000 0.5000

***

Run x
VASP calculation (PBE) on Al2PbF after structural relaxation.

Calculated density ... 5.28 g/cm³
M_tot ... 0.000 μB per atom

abc: 5.0467 5.0467 13.8421
angles: 90.00 90.00 90.00
Space group I-42d (No. 122)
One atom of each set of equivalent atoms:
Al 0.0947 0.2500 0.1250
Pb 0.0000 0.0000 0.5000
F 0.0000 0.0000 0.0000

***

How far above the most stable structure does each one sit? In meV per atom: run w 168; run x 0.